Compound: Sm3TmHg4
Source: Alexandria via LeMat-Bulk
Functional: GGA-PBE
Structure: optimized geometry

It has space group P4/mmm (No. 123), with a = 3.7406 Å, b = 3.7406 Å, c = 15.2584 Å, α = 90.00°, β = 90.00° and γ = 90.00°. The asymmetric unit holds Sm at (0.0000, 0.0000, 0.0000), Sm at (0.0000, 0.0000, 0.2540), Tm at (0.0000, 0.0000, 0.5000), Hg at (0.5000, 0.5000, 0.1260) and Hg at (0.5000, 0.5000, 0.3851).

The calculated formation energy comes out at -0.4721 eV per atom. The calculation puts the total energy at -23.61 eV per cell. The calculation puts the density of states at the Fermi level at 1.10 states/eV per atom. The calculation puts the magnetic moment at 1.25 μB/f.u.